# GGA+U LiZn2Fe4O8, relaxed
# size of the total moment: 19.0 μB per formula unit
# E above lowest polymorph: 0 meV/atom
# crystal system: orthorhombic
data_LiZn2Fe4O8
_chemical_formula_sum 'Li2 Zn4 Fe8 O16'
_symmetry_space_group_name_H-M 'I m m 2'
_symmetry_Int_Tables_number 44
_cell_length_a 5.9890
_cell_length_b 6.1359
_cell_length_c 9.0052
_cell_angle_alpha 90.00
_cell_angle_beta 90.00
_cell_angle_gamma 90.00
loop_
_symmetry_equiv_pos_as_xyz
'x,y,z'
'-x,-y,z'
'-x,y,z'
'x,-y,z'
'x+1/2,y+1/2,z+1/2'
'-x+1/2,-y+1/2,z+1/2'
'-x+1/2,y+1/2,z+1/2'
'x+1/2,-y+1/2,z+1/2'
loop_
_atom_site_label
_atom_site_type_symbol
_atom_site_fract_x
_atom_site_fract_y
_atom_site_fract_z
Li1 Li 0.0000 0.0000 0.0000
Zn1 Zn 0.2299 0.5000 0.6950
Fe1 Fe 0.0000 0.0000 0.7300
Fe2 Fe 0.0000 0.2655 0.4086
Fe3 Fe 0.0000 0.5000 0.0518
O1 O 0.0000 0.2284 0.1648
O2 O 0.0000 0.2805 0.6300
O3 O 0.2324 0.5000 0.3892
O4 O 0.2359 0.0000 0.4194